(1)
Entry from the Alexandria database: a relaxed Mg2Zn2Ge crystal (PBE-GGA).

Cell: 7.759 7.759 3.225 Å, 90.00 90.00 90.00°
Element x y z (fractional)
Mg (0.177, 0.323, 0.000)
Mg (0.323, 0.823, 0.000)
Mg (0.677, 0.177, 0.000)
Mg (0.823, 0.677, 0.000)
Zn (0.120, 0.620, 0.500)
Zn (0.380, 0.120, 0.500)
Zn (0.620, 0.880, 0.500)
Zn (0.880, 0.380, 0.500)
Ge (0.000, 0.000, 0.000)
Ge (0.500, 0.500, 0.000)

Computed properties:
For the total moment, the calculation gives 0.00 μB per formula unit. The calculation puts the density of states at the Fermi level at 1.512 states/eV/f.u.

---

(2)
Entry from the Alexandria database: a relaxed Mg2Zn2Ge crystal (PBE-GGA).

Cell: 6.650 6.650 4.227 Å, 90.00 90.00 90.00°
Element x y z (fractional)
Mg (0.169, 0.331, 0.000)
Mg (0.331, 0.831, 0.000)
Mg (0.669, 0.169, 0.000)
Mg (0.831, 0.669, 0.000)
Zn (0.133, 0.633, 0.500)
Zn (0.367, 0.133, 0.500)
Zn (0.633, 0.867, 0.500)
Zn (0.867, 0.367, 0.500)
Ge (0.000, 0.000, 0.500)
Ge (0.500, 0.500, 0.500)

Computed properties:
For the total moment, the calculation gives 0.00 μB per formula unit. The calculation puts the density of states at the Fermi level at 1.707 states/eV/f.u.

---

Stability summary: most stable (2), least stable (1).

---

(1)
Entry from the Alexandria database: a relaxed MgZn3Ge crystal (PBE-GGA).

Cell: 4.940 4.940 4.940 Å, 90.00 90.00 90.00°
Element x y z (fractional)
Mg (0.000, 0.000, 0.000)
Zn (0.000, 0.000, 0.500)
Zn (0.000, 0.500, 0.000)
Zn (0.500, 0.000, 0.000)
Ge (0.500, 0.500, 0.500)

Computed properties:
For the total moment, the calculation gives 0.00 μB per formula unit. The calculation puts the density of states at the Fermi level at 3.171 states/eV/f.u.

---

(2)
Entry from the Alexandria database: a relaxed MgZn3Ge crystal (PBE-GGA).

Cell: 4.929 4.929 4.929 Å, 90.00 90.00 90.00°
Element x y z (fractional)
Mg (0.000, 0.000, 0.000)
Zn (0.000, 0.500, 0.500)
Zn (0.500, 0.000, 0.500)
Zn (0.500, 0.500, 0.000)
Ge (0.500, 0.500, 0.500)

Computed properties:
For the total moment, the calculation gives 0.00 μB per formula unit. The calculation puts the density of states at the Fermi level at 2.259 states/eV/f.u.

---

Stability summary: most stable (2), least stable (1).

---

(1)
Entry from the Alexandria database: a relaxed Mg2ZnGe2 crystal (PBE-GGA).

Cell: 8.174 8.174 2.962 Å, 90.00 90.00 90.00°
Element x y z (fractional)
Mg (0.140, 0.360, 0.000)
Mg (0.360, 0.860, 0.000)
Mg (0.640, 0.140, 0.000)
Mg (0.860, 0.640, 0.000)
Zn (0.000, 0.000, 0.500)
Zn (0.500, 0.500, 0.500)
Ge (0.159, 0.659, 0.500)
Ge (0.341, 0.159, 0.500)
Ge (0.659, 0.841, 0.500)
Ge (0.841, 0.341, 0.500)

Computed properties:
For the total moment, the calculation gives 0.00 μB per formula unit. The calculation puts the density of states at the Fermi level at 1.283 states/eV/f.u.

---

(2)
Entry from the Alexandria database: a relaxed Mg2ZnGe2 crystal (PBE-GGA).

Cell: 6.348 6.348 6.348 Å, 139.19 139.19 59.09°
Element x y z (fractional)
Mg (0.250, 0.750, 0.500)
Mg (0.750, 0.250, 0.500)
Zn (0.000, 0.000, 0.000)
Ge (0.392, 0.392, 0.000)
Ge (0.608, 0.608, 0.000)

Computed properties:
For the total moment, the calculation gives 0.00 μB per formula unit. The calculation puts the density of states at the Fermi level at 2.169 states/eV/f.u.

---

Stability summary: most stable (1), least stable (2).

---

(1)
Entry from the Alexandria database: a relaxed MgZrGe3 crystal (PBE-GGA).

Cell: 5.203 5.203 5.203 Å, 90.00 90.00 90.00°
Element x y z (fractional)
Mg (0.000, 0.000, 0.000)
Zr (0.500, 0.500, 0.500)
Ge (0.000, 0.500, 0.500)
Ge (0.500, 0.000, 0.500)
Ge (0.500, 0.500, 0.000)

Computed properties:
For the total moment, the calculation gives 0.00 μB per formula unit. The calculation puts the density of states at the Fermi level at 1.716 states/eV/f.u.

---

(2)
Entry from the Alexandria database: a relaxed MgZrGe3 crystal (PBE-GGA).

Cell: 4.856 4.856 4.856 Å, 90.00 90.00 90.00°
Element x y z (fractional)
Mg (0.000, 0.000, 0.000)
Zr (0.500, 0.500, 0.500)
Ge (0.000, 0.000, 0.500)
Ge (0.000, 0.500, 0.000)
Ge (0.500, 0.000, 0.000)

Computed properties:
For the total moment, the calculation gives 0.00 μB per formula unit. The calculation puts the density of states at the Fermi level at 3.734 states/eV/f.u.

---

Stability summary: most stable (1), least stable (2).

---

(1)
Entry from the Alexandria database: a relaxed MnGe2Mo crystal (PBE-GGA).

Cell: 9.178 9.178 9.178 Å, 18.54 18.54 18.54°
Element x y z (fractional)
Mn (0.000, 0.000, 0.000)
Ge (0.091, 0.091, 0.091)
Ge (0.909, 0.909, 0.909)
Mo (0.500, 0.500, 0.500)

Computed properties:
For the total moment, the calculation gives 3.36 μB per formula unit. The calculation puts the density of states at the Fermi level at 3.507 states/eV/f.u.

---

(2)
Entry from the Alexandria database: a relaxed MnGe2Mo crystal (PBE-GGA).

Cell: 4.370 4.370 4.370 Å, 60.00 60.00 60.00°
Element x y z (fractional)
Mn (0.000, 0.000, 0.000)
Ge (0.250, 0.250, 0.250)
Ge (0.750, 0.750, 0.750)
Mo (0.500, 0.500, 0.500)

Computed properties:
For the total moment, the calculation gives 2.61 μB per formula unit. The calculation puts the density of states at the Fermi level at 2.819 states/eV/f.u.

---

(3)
Entry from the Alexandria database: a relaxed MnGe2Mo crystal (PBE-GGA).

Cell: 6.040 6.040 6.040 Å, 35.06 35.06 35.06°
Element x y z (fractional)
Mn (0.000, 0.000, 0.000)
Ge (0.595, 0.595, 0.595)
Ge (0.753, 0.753, 0.753)
Mo (0.178, 0.178, 0.178)

Computed properties:
For the total moment, the calculation gives 2.58 μB per formula unit. The calculation puts the density of states at the Fermi level at 2.237 states/eV/f.u.

---

Stability summary: most stable (2), least stable (1).

---

(1)
Entry from the Alexandria database: a relaxed MnGe2N2 crystal (PBE-GGA).

Cell: 6.240 6.240 3.326 Å, 90.00 90.00 90.00°
Element x y z (fractional)
Mn (0.000, 0.000, 0.000)
Mn (0.500, 0.500, 0.000)
Ge (0.139, 0.361, 0.500)
Ge (0.361, 0.861, 0.500)
Ge (0.639, 0.139, 0.500)
Ge (0.861, 0.639, 0.500)
N (0.242, 0.258, 0.000)
N (0.258, 0.758, 0.000)
N (0.742, 0.242, 0.000)
N (0.758, 0.742, 0.000)

Computed properties:
For the total moment, the calculation gives 3.46 μB per formula unit. The calculation puts the density of states at the Fermi level at 1.788 states/eV/f.u.

---

(2)
Entry from the Alexandria database: a relaxed MnGe2N2 crystal (PBE-GGA).

Cell: 5.071 5.071 5.071 Å, 128.80 128.80 75.34°
Element x y z (fractional)
Mn (0.000, 0.000, 0.000)
Ge (0.250, 0.750, 0.500)
Ge (0.750, 0.250, 0.500)
N (0.428, 0.428, 0.000)
N (0.572, 0.572, 0.000)

Computed properties:
For the total moment, the calculation gives 3.32 μB per formula unit. The calculation puts the density of states at the Fermi level at 1.733 states/eV/f.u.

---

Stability summary: most stable (1), least stable (2).

---

(1)
Entry from the Alexandria database: a relaxed MnNi2GeN crystal (PBE-GGA).

Cell: 3.824 3.824 3.745 Å, 90.00 90.00 90.00°
Element x y z (fractional)
Mn (0.000, 0.000, 0.000)
Ni (0.000, 0.500, 0.500)
Ni (0.500, 0.000, 0.500)
Ge (0.500, 0.500, 0.000)
N (0.000, 0.000, 0.500)

Computed properties:
For the total moment, the calculation gives 0.00 μB per formula unit. The calculation puts the density of states at the Fermi level at 5.400 states/eV/f.u.

---

(2)
Entry from the Alexandria database: a relaxed MnNi2GeN crystal (PBE-GGA).

Cell: 4.487 4.487 3.443 Å, 90.00 90.00 90.00°
Element x y z (fractional)
Mn (0.000, 0.000, 0.000)
Ni (0.000, 0.500, 0.000)
Ni (0.500, 0.000, 0.000)
Ge (0.500, 0.500, 0.500)
N (0.000, 0.000, 0.500)

Computed properties:
For the total moment, the calculation gives 0.00 μB per formula unit. The calculation puts the density of states at the Fermi level at 5.617 states/eV/f.u.

---

Stability summary: most stable (1), least stable (2).

---

(1)
Entry from the Alexandria database: a relaxed MnGeS2N crystal (PBE-GGA).

Cell: 4.847 4.847 3.578 Å, 90.00 90.00 90.00°
Element x y z (fractional)
Mn (0.000, 0.000, 0.000)
Ge (0.500, 0.500, 0.500)
S (0.000, 0.500, 0.500)
S (0.500, 0.000, 0.500)
N (0.500, 0.500, 0.000)

Computed properties:
For the total moment, the calculation gives 3.93 μB per formula unit. The calculation puts the density of states at the Fermi level at 2.334 states/eV/f.u.

---

(2)
Entry from the Alexandria database: a relaxed MnGeS2N crystal (PBE-GGA).

Cell: 4.774 4.774 3.531 Å, 90.00 90.00 90.00°
Element x y z (fractional)
Mn (0.000, 0.000, 0.000)
Ge (0.500, 0.500, 0.500)
S (0.000, 0.500, 0.000)
S (0.500, 0.000, 0.000)
N (0.000, 0.000, 0.500)

Computed properties:
For the total moment, the calculation gives 1.85 μB per formula unit. The calculation puts the density of states at the Fermi level at 2.239 states/eV/f.u.

---

Stability summary: most stable (2), least stable (1).

---

(1)
Entry from the Alexandria database: a relaxed MnGeTe2N crystal (PBE-GGA).

Cell: 5.677 5.677 3.522 Å, 90.00 90.00 90.00°
Element x y z (fractional)
Mn (0.000, 0.000, 0.000)
Ge (0.500, 0.500, 0.500)
Te (0.000, 0.500, 0.500)
Te (0.500, 0.000, 0.500)
N (0.500, 0.500, 0.000)

Computed properties:
For the total moment, the calculation gives 4.75 μB per formula unit. The calculation puts the density of states at the Fermi level at 1.984 states/eV/f.u.

---

(2)
Entry from the Alexandria database: a relaxed MnGeTe2N crystal (PBE-GGA).

Cell: 5.408 5.408 3.490 Å, 90.00 90.00 90.00°
Element x y z (fractional)
Mn (0.000, 0.000, 0.000)
Ge (0.500, 0.500, 0.500)
Te (0.000, 0.500, 0.000)
Te (0.500, 0.000, 0.000)
N (0.000, 0.000, 0.500)

Computed properties:
For the total moment, the calculation gives 1.56 μB per formula unit. The calculation puts the density of states at the Fermi level at 2.157 states/eV/f.u.

---

Stability summary: most stable (2), least stable (1).

---

(1)
Entry from the Alexandria database: a relaxed NaMnGe2 crystal (PBE-GGA).

Cell: 8.824 8.824 8.824 Å, 147.32 147.32 46.89°
Element x y z (fractional)
Na (0.000, 0.000, 0.000)
Na (0.750, 0.250, 0.500)
Mn (0.250, 0.750, 0.500)
Mn (0.500, 0.500, 0.000)
Ge (0.288, 0.625, 0.163)
Ge (0.375, 0.538, 0.663)
Ge (0.462, 0.125, 0.837)
Ge (0.875, 0.712, 0.337)

Computed properties:
For the total moment, the calculation gives 2.79 μB per formula unit. The calculation puts the density of states at the Fermi level at 2.082 states/eV/f.u.

---

(2)
Entry from the Alexandria database: a relaxed NaMnGe2 crystal (PBE-GGA).

Cell: 4.674 4.674 4.674 Å, 60.00 60.00 60.00°
Element x y z (fractional)
Na (0.000, 0.000, 0.000)
Mn (0.500, 0.500, 0.500)
Ge (0.250, 0.250, 0.250)
Ge (0.750, 0.750, 0.750)

Computed properties:
For the total moment, the calculation gives 3.84 μB per formula unit. The calculation puts the density of states at the Fermi level at 1.791 states/eV/f.u.

---

(3)
Entry from the Alexandria database: a relaxed NaMnGe2 crystal (PBE-GGA).

Cell: 8.837 8.837 8.837 Å, 19.64 19.64 19.64°
Element x y z (fractional)
Na (0.000, 0.000, 0.000)
Mn (0.500, 0.500, 0.500)
Ge (0.235, 0.235, 0.235)
Ge (0.765, 0.765, 0.765)

Computed properties:
For the total moment, the calculation gives 0.79 μB per formula unit. The calculation puts the density of states at the Fermi level at 1.794 states/eV/f.u.

---

Stability summary: most stable (3), least stable (1).

---

(1)
Entry from the Alexandria database: a relaxed NaMnGe3 crystal (PBE-GGA).

Cell: 4.679 4.679 4.679 Å, 90.00 90.00 90.00°
Element x y z (fractional)
Na (0.000, 0.000, 0.000)
Mn (0.500, 0.500, 0.500)
Ge (0.000, 0.500, 0.500)
Ge (0.500, 0.000, 0.500)
Ge (0.500, 0.500, 0.000)

Computed properties:
For the total moment, the calculation gives 1.87 μB per formula unit. The calculation puts the density of states at the Fermi level at 2.954 states/eV/f.u.

---

(2)
Entry from the Alexandria database: a relaxed NaMnGe3 crystal (PBE-GGA).

Cell: 4.922 4.922 4.922 Å, 90.00 90.00 90.00°
Element x y z (fractional)
Na (0.000, 0.000, 0.000)
Mn (0.500, 0.500, 0.500)
Ge (0.000, 0.000, 0.500)
Ge (0.000, 0.500, 0.000)
Ge (0.500, 0.000, 0.000)

Computed properties:
For the total moment, the calculation gives 4.40 μB per formula unit. The calculation puts the density of states at the Fermi level at 2.924 states/eV/f.u.

---

Stability summary: most stable (1), least stable (2).

---

(1)
Entry from the Alexandria database: a relaxed Na3MnGe crystal (PBE-GGA).

Cell: 5.590 5.590 5.590 Å, 90.00 90.00 90.00°
Element x y z (fractional)
Na (0.000, 0.000, 0.500)
Na (0.000, 0.500, 0.000)
Na (0.500, 0.000, 0.000)
Mn (0.500, 0.500, 0.500)
Ge (0.000, 0.000, 0.000)

Computed properties:
For the total moment, the calculation gives 6.00 μB per formula unit. The calculation puts the density of states at the Fermi level at 3.055 states/eV/f.u.

---

(2)
Entry from the Alexandria database: a relaxed Na3MnGe crystal (PBE-GGA).

Cell: 5.484 5.484 5.484 Å, 90.00 90.00 90.00°
Element x y z (fractional)
Na (0.000, 0.000, 0.500)
Na (0.000, 0.500, 0.000)
Na (0.500, 0.000, 0.000)
Mn (0.000, 0.000, 0.000)
Ge (0.500, 0.500, 0.500)

Computed properties:
For the total moment, the calculation gives 4.02 μB per formula unit. The calculation puts the density of states at the Fermi level at 3.111 states/eV/f.u.

---

Stability summary: most stable (1), least stable (2).